No. 1
# Na5Th3Cl12 (GGA-PBE, optimized geometry)
# * calculated volume: 27.06 Å³/atom
# * energy relative to the elements, uncorrected: -1560 meV/atom
data_Na5Th3Cl12
_chemical_formula_sum 'Na40 Th24 Cl96'
_cell_length_a 16.299
_cell_length_b 16.299
_cell_length_c 16.299
_cell_angle_alpha 90.00
_cell_angle_beta 90.00
_cell_angle_gamma 90.00
_symmetry_space_group_name_H-M 'I a -3 d'
_symmetry_Int_Tables_number 230
_symmetry_space_group_name_Hall '-I 4bd 2c 3'
loop_
_atom_site_label
_atom_site_type_symbol
_atom_site_fract_x
_atom_site_fract_y
_atom_site_fract_z
_atom_site_occupancy
Na1 Na 0.000 0.000 0.000 1
Na2 Na 0.000 0.250 0.375 1
Th1 Th 0.000 0.250 0.125 1
Cl1 Cl 0.020 0.070 0.654 1



No. 2
# Na2ThCl6 (GGA-PBE, optimized geometry)
# * calculated volume: 30.65 Å³/atom
# * energy relative to the elements, uncorrected: -2025 meV/atom
data_Na2ThCl6
_chemical_formula_sum 'Na4 Th2 Cl12'
_cell_length_a 6.607
_cell_length_b 6.607
_cell_length_c 12.638
_cell_angle_alpha 90.00
_cell_angle_beta 90.00
_cell_angle_gamma 90.00
_symmetry_space_group_name_H-M 'P 42/m n m'
_symmetry_Int_Tables_number 136
_symmetry_space_group_name_Hall '-P 4n 2n'
loop_
_atom_site_label
_atom_site_type_symbol
_atom_site_fract_x
_atom_site_fract_y
_atom_site_fract_z
_atom_site_occupancy
Na1 Na 0.000 0.000 0.165 1
Th1 Th 0.000 0.000 0.500 1
Cl1 Cl 0.194 0.194 0.342 1
Cl2 Cl 0.210 0.210 0.000 1



No. 3
# Na6ThCl12 (GGA-PBE, optimized geometry)
# * calculated volume: 28.48 Å³/atom
# * energy relative to the elements, uncorrected: -1594 meV/atom
data_Na6ThCl12
_chemical_formula_sum 'Na18 Th3 Cl36'
_cell_length_a 12.5263
_cell_length_b 12.5263
_cell_length_c 11.9479
_cell_angle_alpha 90.00
_cell_angle_beta 90.00
_cell_angle_gamma 120.00
_symmetry_space_group_name_H-M 'R -3'
_symmetry_Int_Tables_number 148
_symmetry_space_group_name_Hall '-R 3'
loop_
_atom_site_label
_atom_site_type_symbol
_atom_site_fract_x
_atom_site_fract_y
_atom_site_fract_z
_atom_site_occupancy
Na1 Na 0.0541 0.2577 0.1391 1
Th1 Th 0.0000 0.0000 0.5000 1
Cl1 Cl 0.0395 0.1979 0.3801 1
Cl2 Cl 0.0516 0.2293 0.8966 1



No. 4
# NaThCl6 (GGA-PBE, optimized geometry)
# * calculated volume: 35.28 Å³/atom
# * energy relative to the elements, uncorrected: -1657 meV/atom
# * distance to the lowest polymorph of the same formula: 0.02 eV per formula unit
data_NaThCl6
_chemical_formula_sum 'Na2 Th2 Cl12'
_cell_length_a 6.998
_cell_length_b 12.130
_cell_length_c 6.912
_cell_angle_alpha 90.00
_cell_angle_beta 105.87
_cell_angle_gamma 90.00
_symmetry_space_group_name_H-M 'C 1 2/m 1'
_symmetry_Int_Tables_number 12
_symmetry_space_group_name_Hall '-C 2y'
loop_
_atom_site_label
_atom_site_type_symbol
_atom_site_fract_x
_atom_site_fract_y
_atom_site_fract_z
_atom_site_occupancy
Na1 Na 0.000 0.000 0.000 1
Th1 Th 0.000 0.500 0.500 1
Cl1 Cl 0.233 0.349 0.739 1
Cl2 Cl 0.243 0.500 0.258 1



No. 5
# Na3ThCl8 (GGA-PBE, optimized geometry)
# * calculated volume: 26.43 Å³/atom
# * energy relative to the elements, uncorrected: -1720 meV/atom
data_Na3ThCl8
_chemical_formula_sum 'Na3 Th1 Cl8'
_cell_length_a 6.819
_cell_length_b 6.819
_cell_length_c 6.819
_cell_angle_alpha 90.00
_cell_angle_beta 90.00
_cell_angle_gamma 90.00
_symmetry_space_group_name_H-M 'P m -3 m'
_symmetry_Int_Tables_number 221
_symmetry_space_group_name_Hall '-P 4 2 3'
loop_
_atom_site_label
_atom_site_type_symbol
_atom_site_fract_x
_atom_site_fract_y
_atom_site_fract_z
_atom_site_occupancy
Na1 Na 0.000 0.000 0.500 1
Th1 Th 0.500 0.500 0.500 1
Cl1 Cl 0.260 0.260 0.260 1



No. 6
# Na2ThCl8 (GGA-PBE, optimized geometry)
# * calculated volume: 32.42 Å³/atom
# * energy relative to the elements, uncorrected: -1553 meV/atom
data_Na2ThCl8
_chemical_formula_sum 'Na4 Th2 Cl16'
_cell_length_a 22.213
_cell_length_b 4.727
_cell_length_c 6.795
_cell_angle_alpha 90.00
_cell_angle_beta 91.50
_cell_angle_gamma 90.00
_symmetry_space_group_name_H-M 'C 1 2/m 1'
_symmetry_Int_Tables_number 12
_symmetry_space_group_name_Hall '-C 2y'
loop_
_atom_site_label
_atom_site_type_symbol
_atom_site_fract_x
_atom_site_fract_y
_atom_site_fract_z
_atom_site_occupancy
Na1 Na 0.109 0.000 0.011 1
Th1 Th 0.000 0.500 0.500 1
Cl1 Cl 0.000 0.000 0.263 1
Cl2 Cl 0.101 0.500 0.753 1
Cl3 Cl 0.102 0.500 0.270 1
Cl4 Cl 0.242 0.000 0.974 1



No. 7
# NaThCl6 (GGA-PBE, optimized geometry)
# * calculated volume: 41.95 Å³/atom
# * energy relative to the elements, uncorrected: -1660 meV/atom
# * distance to the lowest polymorph of the same formula: 0.00 eV per formula unit
data_NaThCl6
_chemical_formula_sum 'Na4 Th4 Cl24'
_cell_length_a 11.031
_cell_length_b 11.031
_cell_length_c 11.031
_cell_angle_alpha 90.00
_cell_angle_beta 90.00
_cell_angle_gamma 90.00
_symmetry_space_group_name_H-M 'F m -3 m'
_symmetry_Int_Tables_number 225
_symmetry_space_group_name_Hall '-F 4 2 3'
loop_
_atom_site_label
_atom_site_type_symbol
_atom_site_fract_x
_atom_site_fract_y
_atom_site_fract_z
_atom_site_occupancy
Na1 Na 0.000 0.000 0.000 1
Th1 Th 0.000 0.000 0.500 1
Cl1 Cl 0.000 0.000 0.257 1



No. 8
# Na2ThCl6 (GGA-PBE, optimized geometry)
# * calculated volume: 31.74 Å³/atom
# * energy relative to the elements, uncorrected: -2023 meV/atom
data_Na2ThCl6
_chemical_formula_sum 'Na4 Th2 Cl12'
_cell_length_a 7.216
_cell_length_b 6.643
_cell_length_c 13.929
_cell_angle_alpha 90.00
_cell_angle_beta 121.18
_cell_angle_gamma 90.00
_symmetry_space_group_name_H-M 'P 1 21/c 1'
_symmetry_Int_Tables_number 14
_symmetry_space_group_name_Hall '-P 2ybc'
loop_
_atom_site_label
_atom_site_type_symbol
_atom_site_fract_x
_atom_site_fract_y
_atom_site_fract_z
_atom_site_occupancy
Na1 Na 0.182 0.001 0.182 1
Th1 Th 0.500 0.000 0.000 1
Cl1 Cl 0.179 0.730 0.339 1
Cl2 Cl 0.184 0.214 0.000 1
Cl3 Cl 0.498 0.228 0.838 1



No. 9
# Na3TiCl6 (GGA-PBE, optimized geometry)
# * calculated volume: 23.82 Å³/atom
# * energy relative to the elements, uncorrected: -1697 meV/atom
data_Na3TiCl6
_chemical_formula_sum 'Na6 Ti2 Cl12'
_cell_length_a 6.716
_cell_length_b 7.137
_cell_length_c 11.988
_cell_angle_alpha 90.00
_cell_angle_beta 124.01
_cell_angle_gamma 90.00
_symmetry_space_group_name_H-M 'P 1 21/c 1'
_symmetry_Int_Tables_number 14
_symmetry_space_group_name_Hall '-P 2ybc'
loop_
_atom_site_label
_atom_site_type_symbol
_atom_site_fract_x
_atom_site_fract_y
_atom_site_fract_z
_atom_site_occupancy
Na1 Na 0.000 0.000 0.000 1
Na2 Na 0.278 0.083 0.746 1
Ti1 Ti 0.500 0.000 0.500 1
Cl1 Cl 0.141 0.050 0.273 1
Cl2 Cl 0.267 0.677 0.063 1
Cl3 Cl 0.409 0.212 0.073 1



energy relative to the elements, uncorrected of number 8 (Na2ThCl6)?
-2023 meV/atom